Density functional theory data (GGA-PBE) for an optimized crystal structure of AcH6F12.

a b c (Å): 5.0066 8.6974 8.7044
angles (deg): 44.05 67.16 68.22
Last column: magnetic moment on the atom in μB.
Element x y z (fractional)
F 0.1620 0.6764 0.0478  0.07
F 0.7967 0.9107 0.3830  0.00
F 0.6710 0.3747 0.3675  0.01
F 0.3290 0.6253 0.6325  0.01
F 0.2741 0.6370 0.8018  0.01
F 0.4441 0.9181 0.1621  0.45
F 0.0424 0.5510 0.3700  0.00
F 0.8380 0.3236 0.9522  0.07
F 0.7259 0.3630 0.1982  0.01
F 0.5559 0.0819 0.8379  0.45
F 0.9576 0.4490 0.6300  0.00
F 0.2033 0.0893 0.6170  0.00
H 0.2712 0.1833 0.2693  0.00
H 0.7904 0.8166 0.5411  0.00
H 0.7288 0.8167 0.7307  0.00
H 0.7422 0.6938 0.7961  0.00
H 0.2096 0.1834 0.4589  0.00
H 0.2578 0.3062 0.2039  0.00
Ac 0.0000 0.0000 0.0000  -0.01

Density functional theory data (GGA-PBE) for an optimized crystal structure of AcH2F.

a b c (Å): 4.2874 4.2874 7.4753
angles (deg): 90.00 90.00 60.00
Element x y z (fractional)
H 0.6667 0.6667 0.9100
H 0.6667 0.6667 0.5900
H 0.3333 0.3333 0.4100
H 0.3333 0.3333 0.0900
F 0.0000 0.0000 0.7504
F 0.0000 0.0000 0.2496
Ac 0.6667 0.6667 0.2499
Ac 0.3333 0.3333 0.7501

Summary:
The value obtained for the density of states at the Fermi level is 0.000 states/eV per atom. For the energy relative to the lowest polymorph listed for this composition, the calculation gives 0.0 kJ/mol of atoms.

Density functional theory data (GGA-PBE) for an optimized crystal structure of AcHF5.

a b c (Å): 4.9148 4.9148 12.2270
angles (deg): 123.39 123.39 61.39
Last column: magnetic moment on the atom in μB.
Element x y z (fractional)
H 0.5000 0.5000 0.5000  0.00
H 0.0000 0.0000 0.0000  0.00
F 0.3667 0.7747 0.8084  0.26
F 0.7392 0.7608 0.7500  0.40
F 0.2608 0.2392 0.2500  0.40
F 0.7253 0.1333 0.6916  0.26
F 0.8019 0.2591 0.0016  0.01
F 0.2409 0.6981 0.4984  0.01
F 0.7591 0.3019 0.5016  0.01
F 0.2747 0.8667 0.3084  0.26
F 0.6333 0.2253 0.1916  0.26
F 0.1981 0.7409 0.9984  0.01
Ac 0.2485 0.2515 0.7500  -0.01
Ac 0.7515 0.7485 0.2500  -0.01

Summary:
The value obtained for the density of states at the Fermi level is 0.030 states/eV per atom.

Density functional theory data (GGA-PBE) for an optimized crystal structure of AcHF3.

a b c (Å): 4.3775 6.2131 6.2131
angles (deg): 103.43 90.00 90.00
Last column: magnetic moment on the atom in μB.
Element x y z (fractional)
H 0.7500 0.4890 0.5110  0.00
H 0.2500 0.5110 0.4890  0.00
F 0.5000 0.0000 0.0000  0.15
F 0.2500 0.5509 0.1118  0.00
F 0.0000 0.0000 0.0000  0.15
F 0.7500 0.1118 0.5509  0.00
F 0.7500 0.4491 0.8882  0.00
F 0.2500 0.8882 0.4491  0.00
Ac 0.2500 0.2231 0.7769  0.00
Ac 0.7500 0.7769 0.2231  0.00

Summary:
The value obtained for the density of states at the Fermi level is 0.339 states/eV per atom.

Density functional theory data (GGA-PBE) for an optimized crystal structure of AcH3F8.

a b c (Å): 4.3729 8.4960 5.1183
angles (deg): 117.24 115.29 90.00
Last column: magnetic moment on the atom in μB.
Element x y z (fractional)
F 0.8046 0.6478 0.6092  0.37
F 0.1433 0.3411 0.2866  0.53
F 0.4273 0.9572 0.8545  0.00
F 0.8518 0.3361 0.7036  0.00
F 0.5680 0.2828 0.1360  0.36
F 0.4935 0.5944 0.9870  0.08
F 0.0322 0.8628 0.0645  0.50
F 0.7195 0.9476 0.4390  0.02
H 0.4733 0.0942 0.9466  0.00
H 0.6166 0.9494 0.2331  0.00
H 0.7377 0.3195 0.4753  0.00
Ac 0.1306 0.6367 0.2613  -0.01

Summary:
The value obtained for the density of states at the Fermi level is 0.225 states/eV per atom.

Density functional theory data (GGA-PBE) for an optimized crystal structure of AcH2F.

a b c (Å): 3.7674 3.7322 3.7322
angles (deg): 90.00 90.00 90.00
Element x y z (fractional)
F 0.5000 0.0000 0.0000
H 0.0000 0.5000 0.0000
H 0.0000 0.0000 0.5000
Ac 0.5000 0.5000 0.5000

Summary:
For the energy relative to the lowest polymorph listed for this composition, the calculation gives 20.7 kJ/mol of atoms.

Density functional theory data (GGA-PBE) for an optimized crystal structure of AcH4F.

a b c (Å): 4.3359 4.3359 4.8430
angles (deg): 90.00 90.00 120.00
Element x y z (fractional)
F 0.0000 0.0000 0.5000
H 0.6667 0.3333 0.1130
H 0.6667 0.3333 0.8870
H 0.3333 0.6667 0.8870
H 0.3333 0.6667 0.1130
Ac 0.0000 0.0000 0.0000

Summary:
The value obtained for the density of states at the Fermi level is 0.158 states/eV per atom.

Density functional theory data (GGA-PBE) for an optimized crystal structure of AcH2F3.

a b c (Å): 6.4377 5.3386 6.6657
angles (deg): 91.70 118.87 90.00
Last column: magnetic moment on the atom in μB.
Element x y z (fractional)
F 0.8839 0.9886 0.7626  0.05
F 0.6120 0.2500 0.0000  0.02
F 0.1213 0.5114 0.2374  0.05
F 0.1161 0.0114 0.2374  0.05
F 0.8787 0.4886 0.7626  0.05
F 0.3880 0.7500 0.0000  0.02
H 0.6167 0.2393 0.4571  0.37
H 0.3833 0.7607 0.5429  0.37
H 0.1595 0.2607 0.5429  0.37
H 0.8405 0.7393 0.4571  0.37
Ac 0.7715 0.7500 0.0000  0.04
Ac 0.2285 0.2500 0.0000  0.04

Summary:
The value obtained for the density of states at the Fermi level is 0.000 states/eV per atom.

Density functional theory data (GGA-PBE) for an optimized crystal structure of AcHF.

a b c (Å): 4.0787 4.3260 4.3260
angles (deg): 120.00 90.00 90.00
Element x y z (fractional)
F 0.1048 0.3333 0.6667
H 0.8877 0.6667 0.3333
Ac 0.0075 0.0000 0.0000

Summary:
The value obtained for the density of states at the Fermi level is 0.386 states/eV per atom. For the energy relative to the lowest polymorph listed for this composition, the calculation gives 21.9 kJ/mol of atoms.

Density functional theory data (GGA-PBE) for an optimized crystal structure of AcHF.

a b c (Å): 3.6608 3.6608 4.5577
angles (deg): 113.68 113.68 90.00
Last column: magnetic moment on the atom in μB.
Element x y z (fractional)
H 0.3229 0.3229 0.6458  0.00
Ac 0.6744 0.6744 0.3488  0.11
F 0.0027 0.0027 0.0054  0.01

Summary:
The value obtained for the density of states at the Fermi level is 0.406 states/eV per atom. For the energy relative to the lowest polymorph listed for this composition, the calculation gives 33.7 kJ/mol of atoms.

Density functional theory data (GGA-PBE) for an optimized crystal structure of AcH3F7.

a b c (Å): 6.2937 4.9506 6.2937
angles (deg): 66.79 112.94 66.79
Last column: magnetic moment on the atom in μB.
Element x y z (fractional)
F 0.9806 0.2350 0.5494  0.17
F 0.0194 0.7650 0.4506  0.17
F 0.5494 0.2350 0.9806  0.17
F 0.4506 0.7650 0.0194  0.17
F 0.0001 0.2668 0.0001  0.06
F 0.9999 0.7332 0.9999  0.06
F 0.5000 0.0000 0.5000  0.15
H 0.2150 0.0000 0.7850  0.00
H 0.0000 0.5000 0.0000  0.00
H 0.7850 0.0000 0.2150  0.00
Ac 0.5000 0.5000 0.5000  -0.01

Summary:
The value obtained for the density of states at the Fermi level is 0.378 states/eV per atom.

Density functional theory data (GGA-PBE) for an optimized crystal structure of AcHF.

a b c (Å): 4.1969 7.4176 4.1930
angles (deg): 106.34 120.03 90.00
Element x y z (fractional)
H 0.6217 0.8655 0.2434
H 0.3783 0.1345 0.7566
F 0.1311 0.3923 0.2622
F 0.8689 0.6077 0.7378
Ac 0.7425 0.2268 0.4849
Ac 0.2575 0.7732 0.5151

Summary:
The value obtained for the density of states at the Fermi level is 0.252 states/eV per atom. For the energy relative to the lowest polymorph listed for this composition, the calculation gives 0.0 kJ/mol of atoms.

| no. | calculated total energy (eV/atom) |
| --- | --- |
| 1 | -3.5844 |
| 2 | -4.9260 |
| 3 | -5.1734 |
| 4 | -5.3511 |
| 5 | -4.4900 |
| 6 | -4.7118 |
| 7 | -3.9379 |
| 8 | -4.6146 |
| 9 | -4.9843 |
| 10 | -4.8620 |
| 11 | -4.7927 |
| 12 | -5.2110 |